Entry 1:
## MnCu8Pd3 (PBE-GGA)

Data for a geometry-optimized MnCu8Pd3 structure.

Results
SG   I-42m
DFT total energy   -4.28 eV/atom
Total magnetization   4.60 μB per formula unit

Lattice parameters (Å, degrees): 6.368 6.368 6.368 95.70 116.77 116.77
Last column: magnetic moment on the atom in μB.
Fractional positions:
Mn 0.000 0.000 0.000  3.53
Cu 0.487 0.226 0.226  0.11
Cu 0.513 0.739 0.739  0.11
Cu 0.000 0.774 0.261  0.11
Cu 0.000 0.261 0.774  0.11
Cu 0.265 0.372 0.372  0.09
Cu 0.735 0.107 0.107  0.09
Cu 0.000 0.628 0.893  0.09
Cu 0.000 0.893 0.628  0.09
Pd 0.500 0.750 0.250  0.06
Pd 0.500 0.250 0.750  0.06
Pd 0.000 0.500 0.500  0.04



Entry 2:
## MnCuPd6 (PBE-GGA)

Data for a geometry-optimized MnCuPd6 structure.

Results
SG   P4/mmm
DFT total energy   -5.69 eV/atom
Total magnetization   4.69 μB per formula unit
Relative energy among the computed polymorphs   0 meV per atom

Lattice parameters (Å, degrees): 3.902 3.902 7.842 90.00 90.00 90.00
Last column: magnetic moment on the atom in μB.
Fractional positions:
Mn 0.000 0.000 0.000  3.87
Cu 0.000 0.000 0.500  0.02
Pd 0.500 0.500 0.000  0.15
Pd 0.500 0.500 0.500  0.11
Pd 0.500 0.000 0.251  0.12
Pd 0.500 0.000 0.749  0.12
Pd 0.000 0.500 0.251  0.12
Pd 0.000 0.500 0.749  0.12



Entry 3:
## Mn2CuPd (PBE-GGA)

Data for a geometry-optimized Mn2CuPd structure.

Results
SG   P4/mmm
DFT total energy   -6.89 eV/atom
Total magnetization   8.35 μB per formula unit

Lattice parameters (Å, degrees): 3.065 3.065 6.120 90.00 90.00 90.00
Last column: magnetic moment on the atom in μB.
Fractional positions:
Mn 0.000 0.000 0.761  3.81
Mn 0.000 0.000 0.239  3.81
Cu 0.500 0.500 0.000  0.15
Pd 0.500 0.500 0.500  0.33



Entry 4:
## MnCu2Pd3 (PBE-GGA)

Data for a geometry-optimized MnCu2Pd3 structure.

Results
SG   Pmc2_1
DFT total energy   -5.61 eV/atom
Total magnetization   4.46 μB per formula unit
Relative energy among the computed polymorphs   69 meV per atom

Lattice parameters (Å, degrees): 4.367 4.865 8.057 90.00 90.00 90.00
Last column: magnetic moment on the atom in μB.
Fractional positions:
Mn 0.000 0.956 0.905  3.85
Mn 0.000 0.456 0.095  3.85
Cu 0.000 0.947 0.247  0.07
Cu 0.500 0.117 0.415  0.03
Cu 0.000 0.447 0.753  0.07
Cu 0.500 0.617 0.585  0.03
Pd 0.500 0.127 0.087  0.19
Pd 0.500 0.137 0.738  0.10
Pd 0.000 0.418 0.421  0.09
Pd 0.500 0.627 0.913  0.19
Pd 0.500 0.637 0.262  0.10
Pd 0.000 0.918 0.579  0.09



Which of these has the lowest total magnetization?
MnCu2Pd3



The highest total magnetization belongs to which entry?
Mn2CuPd



Which of these has the highest total magnetization?
Mn2CuPd



Which formula does entry 3 have?
Mn2CuPd